# 1
Compound: FeHgN2O
Source: Alexandria via LeMat-Bulk
Functional: meta-GGA SCAN
Structure: PBEsol geometry

Cell and atoms, written as POSCAR:
```
FeHgN2O
1.0
4.094 0.000 0.000
0.000 4.094 0.000
0.000 0.000 4.122
N Hg O Fe
2 1 1 1
direct
0.000 0.500 0.000
0.500 0.000 0.000
0.000 0.000 0.000
0.000 0.000 0.500
0.500 0.500 0.500
```

Output
As for the uncorrected formation energy: 951 kJ/mol of formula units.

# 2
Compound: NaFeHg3
Source: Alexandria via LeMat-Bulk
Functional: meta-GGA SCAN
Structure: PBEsol geometry

Cell and atoms, written as POSCAR:
```
NaFeHg3
1.0
5.226 0.000 0.000
0.000 5.226 0.000
0.000 0.000 5.226
Na Hg Fe
1 3 1
direct
0.000 0.000 0.000
0.000 0.500 0.000
0.000 0.000 0.500
0.500 0.000 0.000
0.500 0.500 0.500
```

Output
For the formation enthalpy at 0 K, the calculation gives 851 meV/atom.

# 3
Compound: Na2FeHgPb
Source: Alexandria via LeMat-Bulk
Functional: meta-GGA SCAN
Structure: PBEsol geometry

Cell and atoms, written as POSCAR:
```
Na2FeHgPb
1.0
-3.159 2.064 3.217
3.016 -1.694 4.049
2.784 4.536 -0.176
Pb Na Hg Fe
1 2 1 1
direct
0.500 0.500 0.500
0.000 0.000 0.500
0.000 0.500 0.000
0.000 0.000 0.000
0.500 0.000 0.000
```

Output
For the formation enthalpy at 0 K, the calculation gives 427 meV/atom.

# 4
Compound: NaFe2TcHg
Source: Alexandria via LeMat-Bulk
Functional: meta-GGA SCAN
Structure: PBEsol geometry

Cell and atoms, written as POSCAR:
```
NaFe2TcHg
1.0
-3.629 -2.103 1.062
2.236 -2.462 2.766
-0.787 3.049 3.351
Fe Na Hg Tc
2 1 1 1
direct
0.000 0.500 0.000
0.500 0.000 0.000
0.000 0.000 0.000
0.500 0.500 0.500
0.000 0.000 0.500
```

Output
For the formation enthalpy at 0 K, the calculation gives 1920 meV/atom.

# 5
Compound: NbFeHg3
Source: Alexandria via LeMat-Bulk
Functional: meta-GGA SCAN
Structure: PBEsol geometry

Cell and atoms, written as POSCAR:
```
NbFeHg3
1.0
4.788 0.000 0.000
0.000 4.788 0.000
0.000 0.000 4.788
Nb Hg Fe
1 3 1
direct
0.500 0.500 0.500
0.000 0.500 0.000
0.000 0.000 0.500
0.500 0.000 0.000
0.000 0.000 0.000
```

Output
For the formation enthalpy at 0 K, the calculation gives 902 meV/atom.

# 6
Compound: FeNi2Hg
Source: Alexandria via LeMat-Bulk
Functional: meta-GGA SCAN
Structure: PBEsol geometry

Cell and atoms, written as POSCAR:
```
FeNi2Hg
1.0
3.810 0.000 0.000
0.000 3.810 0.000
-1.905 -1.905 3.549
Fe Hg Ni
1 1 2
direct
0.500 0.500 0.000
0.000 0.000 0.000
0.750 0.250 0.500
0.250 0.750 0.500
```

Output
For the formation enthalpy at 0 K, the calculation gives 131 meV/atom.